DFT (PBE) results for a relaxed structure of Tb2Zn3Ni12Ir.

a = 5.1026 Å, b = 5.1026 Å, c = 34.5640 Å
α = 90.00°, β = 90.00°, γ = 120.00°
Space group R-3m (No. 166, hexagonal axes)
Unique sites:
Tb1 0.0000 0.0000 0.1422 (multiplicity 6)
Zn1 0.0000 0.5000 0.0000 (multiplicity 9)
Ni1 0.0015 0.5008 0.1085 (multiplicity 18)
Ni2 0.0184 0.5092 0.6119 (multiplicity 18)
Ir1 0.0000 0.0000 0.5000 (multiplicity 3)

Output
- raw total energy (eV for the cell shown) = -273.69
- crystal system = trigonal

***

DFT (PBE) results for a relaxed structure of Ta2TlIn.

a = 3.645 Å, b = 4.698 Å, c = 9.438 Å
α = 90.00°, β = 90.00°, γ = 90.00°
Space group Immm (No. 71)
Unique sites:
Ta1 0.000 0.000 0.249 (multiplicity 4)
Tl1 0.000 0.500 0.000 (multiplicity 2)
In1 0.000 0.500 0.500 (multiplicity 2)

Output
- energy above the most stable polymorph in this dataset (eV per formula unit) = 0.467
- crystal system = orthorhombic

***

DFT (PBE) results for a relaxed structure of InSiTcF2.

a = 4.182 Å, b = 4.182 Å, c = 4.898 Å
α = 90.00°, β = 90.00°, γ = 90.00°
Space group P4/mmm (No. 123)
Unique sites:
In1 0.000 0.000 0.000 (multiplicity 1)
Si1 0.500 0.500 0.000 (multiplicity 1)
Tc1 0.500 0.500 0.500 (multiplicity 1)
F1 0.000 0.500 0.500 (multiplicity 2)

Output
- uncorrected formation energy (eV/atom) = -0.663
- crystal system = tetragonal

***

DFT (PBE) results for a relaxed structure of Tb2Tm5In.

a = 8.635 Å, b = 22.584 Å, c = 6.450 Å
α = 90.00°, β = 131.16°, γ = 90.00°
Space group C2/c (No. 15)
Unique sites:
Tb1 0.000 0.000 0.000 (multiplicity 4)
Tb2 0.250 0.250 0.000 (multiplicity 4)
Tm1 0.000 0.244 0.250 (multiplicity 4)
Tm2 0.173 0.378 0.642 (multiplicity 8)
Tm3 0.178 0.126 0.724 (multiplicity 8)
In1 0.000 0.497 0.750 (multiplicity 4)

Output
- energy above the most stable polymorph in this dataset (eV per formula unit) = 0.963
- crystal system = monoclinic

***

DFT (PBE) results for a relaxed structure of SmPaHg2O8.

a = 7.342 Å, b = 7.342 Å, c = 7.274 Å
α = 90.00°, β = 90.00°, γ = 90.00°
Space group I-4m2 (No. 119)
Unique sites:
Sm1 0.000 0.000 0.000 (multiplicity 2)
Pa1 0.000 0.500 0.750 (multiplicity 2)
Hg1 0.000 0.000 0.500 (multiplicity 2)
Hg2 0.000 0.500 0.250 (multiplicity 2)
O1 0.000 0.190 0.734 (multiplicity 8)
O2 0.000 0.328 0.010 (multiplicity 8)

Output
- uncorrected formation energy (eV/atom) = -1.511
- crystal system = tetragonal

***

DFT (PBE) results for a relaxed structure of Mg2SiAg.

a = 6.676 Å, b = 6.676 Å, c = 6.676 Å
α = 90.00°, β = 90.00°, γ = 90.00°
Space group F-43m (No. 216)
Unique sites:
Mg1 0.000 0.000 0.000 (multiplicity 4)
Mg2 0.250 0.250 0.250 (multiplicity 4)
Si1 0.000 0.000 0.500 (multiplicity 4)
Ag1 0.250 0.250 0.750 (multiplicity 4)

Output
- uncorrected formation energy (eV/atom) = 0.110
- crystal system = cubic

***

DFT (PBE) results for a relaxed structure of Na2Tm2PaSe6.

a = 7.123 Å, b = 12.325 Å, c = 7.468 Å
α = 90.00°, β = 108.58°, γ = 90.00°
Space group C2/m (No. 12)
Unique sites:
Na1 0.000 0.167 0.000 (multiplicity 4)
Tm1 0.000 0.334 0.500 (multiplicity 4)
Pa1 0.000 0.000 0.500 (multiplicity 2)
Se1 0.241 0.168 0.724 (multiplicity 8)
Se2 0.241 0.500 0.724 (multiplicity 4)

Output
- uncorrected formation energy (eV/atom) = -1.593
- crystal system = monoclinic

***

DFT (PBE) results for a relaxed structure of TlFe4Sb12.

a = 9.235 Å, b = 9.235 Å, c = 9.235 Å
α = 90.00°, β = 90.00°, γ = 90.00°
Space group Im-3 (No. 204)
Unique sites:
Tl1 0.000 0.000 0.000 (multiplicity 2)
Fe1 0.250 0.250 0.250 (multiplicity 8)
Sb1 0.000 0.335 0.162 (multiplicity 24)

Output
- uncorrected formation energy (eV/atom) = -0.031
- crystal system = cubic

***

DFT (PBE) results for a relaxed structure of CoPC.

a = 2.9068 Å, b = 2.9068 Å, c = 4.2619 Å
α = 90.00°, β = 90.00°, γ = 120.00°
Space group P3m1 (No. 156)
Unique sites:
Co1 0.0000 0.0000 0.0000 (multiplicity 1)
P1 0.3333 0.6667 0.3587 (multiplicity 1)
C1 0.0000 0.0000 0.5296 (multiplicity 1)

Output
- energy above the most stable polymorph in this dataset (eV per formula unit) = 0.529
- crystal system = trigonal

***

DFT (PBE) results for a relaxed structure of Nd2ErNpP4.

a = 7.018 Å, b = 4.055 Å, c = 7.043 Å
α = 90.00°, β = 109.30°, γ = 90.00°
Space group P2/m (No. 10)
Unique sites:
Nd1 0.000 0.000 0.000 (multiplicity 1)
Nd2 0.500 0.500 0.000 (multiplicity 1)
Er1 0.000 0.500 0.500 (multiplicity 1)
Np1 0.500 0.000 0.500 (multiplicity 1)
P1 0.249 0.000 0.735 (multiplicity 2)
P2 0.258 0.500 0.266 (multiplicity 2)

Output
- raw total energy (eV for the cell shown) = -59.69
- crystal system = monoclinic

***

DFT (PBE) results for a relaxed structure of ZnPtAu.

a = 14.218 Å, b = 2.924 Å, c = 4.707 Å
α = 90.00°, β = 102.77°, γ = 90.00°
Space group C2/m (No. 12)
Unique sites:
Zn1 0.085 0.000 0.290 (multiplicity 4)
Pt1 0.072 0.500 0.783 (multiplicity 4)
Au1 0.249 0.500 0.248 (multiplicity 4)

Output
- energy above the most stable polymorph in this dataset (eV per formula unit) = 0.055
- crystal system = monoclinic

***

DFT (PBE) results for a relaxed structure of Ac2NbN.

a = 3.5666 Å, b = 3.5666 Å, c = 28.8808 Å
α = 90.00°, β = 90.00°, γ = 120.00°
Space group R-3m (No. 166, hexagonal axes)
Unique sites:
Ac1 0.0000 0.0000 0.1112 (multiplicity 6)
Nb1 0.0000 0.0000 0.0000 (multiplicity 3)
N1 0.0000 0.0000 0.5000 (multiplicity 3)

Output
- uncorrected formation energy (eV/atom) = 0.279
- crystal system = trigonal

***

DFT (PBE) results for a relaxed structure of BaErZn2Ga2.

a = 4.5270 Å, b = 4.5270 Å, c = 8.1404 Å
α = 90.00°, β = 90.00°, γ = 120.00°
Space group P-3m1 (No. 164)
Unique sites:
Ba1 0.0000 0.0000 0.0000 (multiplicity 1)
Er1 0.0000 0.0000 0.5000 (multiplicity 1)
Zn1 0.3333 0.6667 0.6838 (multiplicity 2)
Ga1 0.3333 0.6667 0.3075 (multiplicity 2)

Output
- raw total energy (eV for the cell shown) = -17.94
- crystal system = trigonal

***

DFT (PBE) results for a relaxed structure of MnGa2Ni6.

a = 9.824 Å, b = 3.789 Å, c = 7.517 Å
α = 90.00°, β = 130.72°, γ = 90.00°
Space group C2/m (No. 12)
Unique sites:
Mn1 0.000 0.000 0.000 (multiplicity 2)
Ga1 0.162 0.500 0.323 (multiplicity 4)
Ni1 0.002 0.000 0.335 (multiplicity 4)
Ni2 0.167 0.500 0.665 (multiplicity 4)
Ni3 0.169 0.500 0.000 (multiplicity 4)

Output
- raw total energy (eV for the cell shown) = -103.50
- crystal system = monoclinic

***

DFT (PBE) results for a relaxed structure of PmHgIr.

a = 4.029 Å, b = 17.147 Å, c = 4.116 Å
α = 90.00°, β = 90.00°, γ = 90.00°
Space group Cmcm (No. 63)
Unique sites:
Pm1 0.000 0.098 0.250 (multiplicity 4)
Hg1 0.000 0.293 0.250 (multiplicity 4)
Ir1 0.000 0.456 0.250 (multiplicity 4)

Output
- energy above the most stable polymorph in this dataset (eV per formula unit) = 0.000
- crystal system = orthorhombic

***

DFT (PBE) results for a relaxed structure of PmCo6Ge12.

a = 8.617 Å, b = 8.617 Å, c = 8.617 Å
α = 90.00°, β = 90.00°, γ = 90.00°
Space group Im-3 (No. 204)
Unique sites:
Pm1 0.000 0.000 0.000 (multiplicity 2)
Co1 0.000 0.153 0.500 (multiplicity 12)
Ge1 0.000 0.305 0.164 (multiplicity 24)

Output
- raw total energy (eV for the cell shown) = -202.21
- crystal system = cubic

***

DFT (PBE) results for a relaxed structure of HfTaN2O.

a = 4.062 Å, b = 4.062 Å, c = 3.830 Å
α = 90.00°, β = 90.00°, γ = 90.00°
Space group P4/mmm (No. 123)
Unique sites:
Hf1 0.000 0.000 0.000 (multiplicity 1)
Ta1 0.500 0.500 0.500 (multiplicity 1)
N1 0.000 0.500 0.500 (multiplicity 2)
O1 0.500 0.500 0.000 (multiplicity 1)

Output
- uncorrected formation energy (eV/atom) = -0.924
- crystal system = tetragonal

***

DFT (PBE) results for a relaxed structure of CrAs2Pt.

a = 8.145 Å, b = 3.340 Å, c = 4.832 Å
α = 90.00°, β = 104.76°, γ = 90.00°
Space group Cm (No. 8)
Unique sites:
Cr1 0.000 0.000 0.000 (multiplicity 2)
As1 0.020 0.500 0.624 (multiplicity 2)
As2 0.289 0.000 0.006 (multiplicity 2)
Pt1 0.273 0.500 0.411 (multiplicity 2)

Output
- energy above the most stable polymorph in this dataset (eV per formula unit) = 0.000
- crystal system = monoclinic

***

DFT (PBE) results for a relaxed structure of BaY2SnCl.

a = 6.181 Å, b = 6.181 Å, c = 5.436 Å
α = 90.00°, β = 90.00°, γ = 90.00°
Space group P4/mmm (No. 123)
Unique sites:
Ba1 0.000 0.000 0.000 (multiplicity 1)
Y1 0.000 0.500 0.000 (multiplicity 2)
Sn1 0.500 0.500 0.500 (multiplicity 1)
Cl1 0.000 0.000 0.500 (multiplicity 1)

Output
- uncorrected formation energy (eV/atom) = 0.534
- crystal system = tetragonal

***

DFT (PBE) results for a relaxed structure of K2RbCu2.

a = 5.353 Å, b = 5.353 Å, c = 13.797 Å
α = 90.00°, β = 90.00°, γ = 90.00°
Space group I4/mmm (No. 139)
Unique sites:
K1 0.000 0.500 0.250 (multiplicity 4)
Rb1 0.000 0.000 0.000 (multiplicity 2)
Cu1 0.000 0.000 0.413 (multiplicity 4)

Output
- energy above the most stable polymorph in this dataset (eV per formula unit) = 0.111
- crystal system = tetragonal

***

DFT (PBE) results for a relaxed structure of NpGa6Pt3.

a = 9.195 Å, b = 4.284 Å, c = 9.415 Å
α = 90.00°, β = 94.81°, γ = 90.00°
Space group P2_1/m (No. 11)
Unique sites:
Np1 0.094 0.250 0.269 (multiplicity 2)
Ga1 0.080 0.250 0.916 (multiplicity 2)
Ga2 0.133 0.750 0.494 (multiplicity 2)
Ga3 0.271 0.750 0.776 (multiplicity 2)
Ga4 0.329 0.750 0.293 (multiplicity 2)
Ga5 0.371 0.250 0.070 (multiplicity 2)
Ga6 0.382 0.250 0.570 (multiplicity 2)
Pt1 0.127 0.250 0.648 (multiplicity 2)
Pt2 0.200 0.750 0.032 (multiplicity 2)
Pt3 0.481 0.250 0.324 (multiplicity 2)

Output
- raw total energy (eV for the cell shown) = -108.61
- crystal system = monoclinic

***

DFT (PBE) results for a relaxed structure of Ba3CO5.

a = 7.356 Å, b = 7.356 Å, c = 10.663 Å
α = 90.00°, β = 90.00°, γ = 90.00°
Space group I4/mcm (No. 140)
Unique sites:
Ba1 0.000 0.000 0.250 (multiplicity 4)
Ba2 0.181 0.319 0.000 (multiplicity 8)
C1 0.000 0.500 0.250 (multiplicity 4)
O1 0.000 0.000 0.000 (multiplicity 4)
O2 0.112 0.388 0.328 (multiplicity 16)

Output
- uncorrected formation energy (eV/atom) = -2.264
- crystal system = tetragonal